VASP calculation (PBE-GGA) on an optimized crystal structure of NbAl2Au2.

Results
The calculated volume comes out at 85.5 Å³/f.u. Its space-group type is P4/mbm, No. 127. The crystal system is tetragonal. The value obtained for the density of states at the Fermi level is 0.4790 states/eV/atom. As for the uncorrected energy: -0.36842 Ry/atom. As for the total magnetic moment: 0.00 μB/f.u. As for the energy above the most stable polymorph in this dataset: 82 meV per atom.

Structure (CIF):
```
data_NbAl2Au2
_space_group_name_H-M_alt 'P 1'
_space_group_IT_number 1
_cell_length_a 7.5991
_cell_length_b 7.5991
_cell_length_c 2.9630
_cell_angle_alpha 90.00
_cell_angle_beta 90.00
_cell_angle_gamma 90.00
loop_
_space_group_symop_operation_xyz
'x,y,z'
loop_
_atom_site_label
_atom_site_type_symbol
_atom_site_fract_x
_atom_site_fract_y
_atom_site_fract_z
Au1 Au 0.6316 0.1316 0.0000
Au2 Au 0.1316 0.3684 0.0000
Au3 Au 0.8684 0.6316 0.0000
Au4 Au 0.3684 0.8684 0.0000
Al1 Al 0.8297 0.3297 0.5000
Al2 Al 0.1703 0.6703 0.5000
Al3 Al 0.3297 0.1703 0.5000
Al4 Al 0.6703 0.8297 0.5000
Nb1 Nb 0.5000 0.5000 0.0000
Nb2 Nb 0.0000 0.0000 0.0000
```